Version w
Material: CoBi2Se
Method: DFT, PBE
State: optimized geometry

The space group is I-42d (No. 122) and the conventional cell measures 6.227, 6.227 and 12.515 Å, with angles of 90.00, 90.00 and 90.00 degrees. Symmetry generates all atoms from Co at (0.000, 0.000, 0.000), Bi at (0.185, 0.250, 0.125) and Se at (0.000, 0.000, 0.500).

As for the total magnetization: 0.0 μB/f.u.


Version x
Material: CoBi2Se
Method: DFT, PBE
State: optimized geometry

The space group is Fm-3m (No. 225) and the conventional cell measures 7.170, 7.170 and 7.170 Å, with angles of 90.00, 90.00 and 90.00 degrees. Symmetry generates all atoms from Co at (0.000, 0.000, 0.000), Bi at (0.250, 0.250, 0.250) and Se at (0.000, 0.000, 0.500).

As for the total magnetization: 1.3 μB/f.u.


Q: Which of them is the least stable? A: version x.


Version w
Material: Co2BiSe
Method: DFT, PBE
State: optimized geometry

The space group is I-42d (No. 122) and the conventional cell measures 4.593, 4.593 and 14.636 Å, with angles of 90.00, 90.00 and 90.00 degrees. Symmetry generates all atoms from Co at (0.139, 0.250, 0.125), Bi at (0.000, 0.000, 0.500) and Se at (0.000, 0.000, 0.000).

As for the total magnetization: 1.5 μB/f.u.


Version x
Material: Co2BiSe
Method: DFT, PBE
State: optimized geometry

The space group is Fm-3m (No. 225) and the conventional cell measures 6.440, 6.440 and 6.440 Å, with angles of 90.00, 90.00 and 90.00 degrees. Symmetry generates all atoms from Co at (0.250, 0.250, 0.250), Bi at (0.000, 0.000, 0.000) and Se at (0.000, 0.000, 0.500).

As for the total magnetization: 2.1 μB/f.u.


Q: Which of them is the least stable? A: version x.


Version w
Material: Co2Si2Bi
Method: DFT, PBE
State: optimized geometry

The space group is I4/mmm (No. 139) and the conventional cell measures 4.042, 4.042 and 9.384 Å, with angles of 90.00, 90.00 and 90.00 degrees. Symmetry generates all atoms from Co at (0.000, 0.500, 0.250), Si at (0.000, 0.000, 0.131) and Bi at (0.000, 0.000, 0.500).

As for the total magnetization: 0.0 μB/f.u.


Version x
Material: Co2Si2Bi
Method: DFT, PBE
State: optimized geometry

The space group is P4/mbm (No. 127) and the conventional cell measures 7.382, 7.382 and 2.824 Å, with angles of 90.00, 90.00 and 90.00 degrees. Symmetry generates all atoms from Co at (0.134, 0.366, 0.000), Si at (0.126, 0.626, 0.500) and Bi at (0.000, 0.000, 0.500).

As for the total magnetization: 0.0 μB/f.u.


Q: Which of them is the least stable? A: version x.


Version w
Material: Sm3CoBi
Method: DFT, PBE
State: optimized geometry

The space group is Pm-3m (No. 221) and the conventional cell measures 5.261, 5.261 and 5.261 Å, with angles of 90.00, 90.00 and 90.00 degrees. Symmetry generates all atoms from Sm at (0.000, 0.000, 0.500), Co at (0.000, 0.000, 0.000) and Bi at (0.500, 0.500, 0.500).

As for the total magnetization: 0.0 μB/f.u.


Version x
Material: Sm3CoBi
Method: DFT, PBE
State: optimized geometry

The space group is Cmcm (No. 63) and the conventional cell measures 5.155, 22.688 and 5.158 Å, with angles of 90.00, 90.00 and 90.00 degrees. Symmetry generates all atoms from Sm at (0.000, 0.065, 0.250), Sm at (0.000, 0.315, 0.750), Sm at (0.000, 0.431, 0.250), Co at (0.000, 0.441, 0.750) and Bi at (0.000, 0.171, 0.750).

As for the total magnetization: 0.0 μB/f.u.


Q: Which of them is the least stable? A: version x.


Version w
Material: Co2Sn2Bi
Method: DFT, PBE
State: optimized geometry

The space group is P4/mbm (No. 127) and the conventional cell measures 7.695, 7.695 and 3.137 Å, with angles of 90.00, 90.00 and 90.00 degrees. Symmetry generates all atoms from Co at (0.142, 0.358, 0.000), Sn at (0.149, 0.649, 0.500) and Bi at (0.000, 0.000, 0.000).

As for the total magnetization: 0.0 μB/f.u.


Version x
Material: Co2Sn2Bi
Method: DFT, PBE
State: optimized geometry

The space group is I4/mmm (No. 139) and the conventional cell measures 4.129, 4.129 and 11.564 Å, with angles of 90.00, 90.00 and 90.00 degrees. Symmetry generates all atoms from Co at (0.000, 0.000, 0.108), Sn at (0.000, 0.500, 0.250) and Bi at (0.000, 0.000, 0.500).

As for the total magnetization: 0.0 μB/f.u.


Q: Which of them is the least stable? A: version x.


Version w
Material: Co3SnBi
Method: DFT, PBE
State: optimized geometry

The space group is Pm-3m (No. 221) and the conventional cell measures 4.810, 4.810 and 4.810 Å, with angles of 90.00, 90.00 and 90.00 degrees. Symmetry generates all atoms from Co at (0.000, 0.000, 0.500), Sn at (0.500, 0.500, 0.500) and Bi at (0.000, 0.000, 0.000).

As for the total magnetization: 4.0 μB/f.u.


Version x
Material: Co3SnBi
Method: DFT, PBE
State: optimized geometry

The space group is Pm-3m (No. 221) and the conventional cell measures 4.704, 4.704 and 4.704 Å, with angles of 90.00, 90.00 and 90.00 degrees. Symmetry generates all atoms from Co at (0.000, 0.000, 0.500), Sn at (0.000, 0.000, 0.000) and Bi at (0.500, 0.500, 0.500).

As for the total magnetization: 3.2 μB/f.u.


Q: Which of them is the least stable? A: version w.


Version w
Material: CoSn3Bi
Method: DFT, PBE
State: optimized geometry

The space group is Pm-3m (No. 221) and the conventional cell measures 5.016, 5.016 and 5.016 Å, with angles of 90.00, 90.00 and 90.00 degrees. Symmetry generates all atoms from Co at (0.000, 0.000, 0.000), Sn at (0.000, 0.000, 0.500) and Bi at (0.500, 0.500, 0.500).

As for the total magnetization: 0.0 μB/f.u.


Version x
Material: CoSn3Bi
Method: DFT, PBE
State: optimized geometry

The space group is P2_1/m (No. 11) and the conventional cell measures 3.590, 9.710 and 7.547 Å, with angles of 90.00, 103.55 and 90.00 degrees. Symmetry generates all atoms from Co at (0.000, 0.000, 0.000), Sn at (0.041, 0.250, 0.076), Sn at (0.378, 0.025, 0.753) and Bi at (0.263, 0.750, 0.513).

As for the total magnetization: 0.0 μB/f.u.


Q: Which of them is the least stable? A: version x.


Version w
Material: Co2SnBi
Method: DFT, PBE
State: optimized geometry

The space group is I-42d (No. 122) and the conventional cell measures 7.000, 7.000 and 6.259 Å, with angles of 90.00, 90.00 and 90.00 degrees. Symmetry generates all atoms from Co at (0.233, 0.250, 0.125), Sn at (0.000, 0.000, 0.000) and Bi at (0.000, 0.000, 0.500).

As for the total magnetization: 0.0 μB/f.u.


Version x
Material: Co2SnBi
Method: DFT, PBE
State: optimized geometry

The space group is Fm-3m (No. 225) and the conventional cell measures 6.556, 6.556 and 6.556 Å, with angles of 90.00, 90.00 and 90.00 degrees. Symmetry generates all atoms from Co at (0.250, 0.250, 0.250), Sn at (0.000, 0.000, 0.000) and Bi at (0.000, 0.000, 0.500).

As for the total magnetization: 2.3 μB/f.u.


Q: Which of them is the least stable? A: version w.


Version w
Material: TaCoBi3
Method: DFT, PBE
State: optimized geometry

The space group is Pm-3m (No. 221) and the conventional cell measures 5.061, 5.061 and 5.061 Å, with angles of 90.00, 90.00 and 90.00 degrees. Symmetry generates all atoms from Ta at (0.000, 0.000, 0.000), Co at (0.500, 0.500, 0.500) and Bi at (0.000, 0.500, 0.500).

As for the total magnetization: 2.3 μB/f.u.


Version x
Material: TaCoBi3
Method: DFT, PBE
State: optimized geometry

The space group is Pm-3m (No. 221) and the conventional cell measures 5.471, 5.471 and 5.471 Å, with angles of 90.00, 90.00 and 90.00 degrees. Symmetry generates all atoms from Ta at (0.000, 0.000, 0.000), Co at (0.500, 0.500, 0.500) and Bi at (0.000, 0.000, 0.500).

As for the total magnetization: 2.1 μB/f.u.


Q: Which of them is the least stable? A: version x.


Version w
Material: TaCoBi2
Method: DFT, PBE
State: optimized geometry

The space group is Fm-3m (No. 225) and the conventional cell measures 6.908, 6.908 and 6.908 Å, with angles of 90.00, 90.00 and 90.00 degrees. Symmetry generates all atoms from Ta at (0.000, 0.000, 0.000), Co at (0.000, 0.000, 0.500) and Bi at (0.250, 0.250, 0.250).

As for the total magnetization: 0.0 μB/f.u.


Version x
Material: TaCoBi2
Method: DFT, PBE
State: optimized geometry

The space group is I-42d (No. 122) and the conventional cell measures 7.561, 7.561 and 6.174 Å, with angles of 90.00, 90.00 and 90.00 degrees. Symmetry generates all atoms from Ta at (0.000, 0.000, 0.000), Co at (0.000, 0.000, 0.500) and Bi at (0.204, 0.250, 0.625).

As for the total magnetization: 0.0 μB/f.u.


Q: Which of them is the least stable? A: version x.


Version w
Material: Tb4CoBi
Method: DFT, PBE
State: optimized geometry

The space group is Pnma (No. 62) and the conventional cell measures 8.473, 3.847 and 19.867 Å, with angles of 90.00, 90.00 and 90.00 degrees. Symmetry generates all atoms from Tb at (0.038, 0.250, 0.067), Tb at (0.059, 0.750, 0.214), Tb at (0.124, 0.750, 0.646), Tb at (0.146, 0.750, 0.455), Co at (0.217, 0.250, 0.555) and Bi at (0.243, 0.750, 0.816).

As for the total magnetization: 0.0 μB/f.u.


Version x
Material: Tb4CoBi
Method: DFT, PBE
State: optimized geometry

The space group is C2/m (No. 12) and the conventional cell measures 19.021, 5.332 and 9.681 Å, with angles of 90.00, 116.09 and 90.00 degrees. Symmetry generates all atoms from Tb at (0.027, 0.000, 0.199), Tb at (0.116, 0.500, 0.062), Tb at (0.189, 0.000, 0.891), Tb at (0.244, 0.000, 0.324), Co at (0.113, 0.000, 0.056) and Bi at (0.159, 0.000, 0.548).

As for the total magnetization: 0.0 μB/f.u.


Q: Which of them is the least stable? A: version x.


Version w
Material: Tb3CoBi
Method: DFT, PBE
State: optimized geometry

The space group is Pm-3m (No. 221) and the conventional cell measures 5.186, 5.186 and 5.186 Å, with angles of 90.00, 90.00 and 90.00 degrees. Symmetry generates all atoms from Tb at (0.000, 0.000, 0.500), Co at (0.000, 0.000, 0.000) and Bi at (0.500, 0.500, 0.500).

As for the total magnetization: 0.0 μB/f.u.


Version x
Material: Tb3CoBi
Method: DFT, PBE
State: optimized geometry

The space group is P2_1/m (No. 11) and the conventional cell measures 8.036, 4.331 and 8.456 Å, with angles of 90.00, 115.16 and 90.00 degrees. Symmetry generates all atoms from Tb at (0.038, 0.250, 0.246), Tb at (0.322, 0.750, 0.590), Tb at (0.328, 0.250, 0.911), Co at (0.065, 0.250, 0.583) and Bi at (0.323, 0.750, 0.199).

As for the total magnetization: 0.0 μB/f.u.


Q: Which of them is the least stable? A: version w.